The following is a DFT calculation (GGA-PBE) of CaRh2N after structural relaxation.

Structure (POSCAR):
```
CaRh2N
1.0
-3.482 3.482 2.772
3.482 -3.482 2.772
3.482 3.482 -2.772
Ca Rh N
2 4 2
Direct
0.000 0.000 0.000
0.750 0.250 0.500
0.288 0.125 0.663
0.375 0.712 0.837
0.462 0.625 0.337
0.875 0.538 0.163
0.250 0.750 0.500
0.500 0.500 0.000
```

## Properties
DOS(E_F) = 0.473 states/eV/f.u.
energy = -25.95 eV/f.u.